# 1
This record from Alexandria via LeMat-Bulk describes MnFe2Au after structural relaxation. The functional is PBE-GGA.

The structure belongs to space group Pmmm (No. 47); the cell edges are 2.6546, 3.7446 and 5.3822 Å and the angles 90.00°, 90.00° and 90.00°. The inequivalent atoms are Mn at (0.0000, 0.0000, 0.0000), Fe at (0.5000, 0.5000, 0.2218) and Au at (0.0000, 0.0000, 0.5000).

As for the energy relative to the elements: 0.195 eV per atom. The calculation puts the density of states at the Fermi level at 4.9 states/eV per cell.

***

# 2
This record from Alexandria via LeMat-Bulk describes MnFe2Au after structural relaxation. The functional is PBE-GGA.

The structure belongs to space group R3m (No. 160, hexagonal axes); the cell edges are 2.6915, 2.6915 and 26.1310 Å and the angles 90.00°, 90.00° and 120.00°. The inequivalent atoms are Mn at (0.0000, 0.0000, 0.0000), Fe at (0.0000, 0.0000, 0.4872), Fe at (0.0000, 0.0000, 0.7414) and Au at (0.0000, 0.0000, 0.2431).

As for the energy relative to the elements: 0.297 eV per atom. The calculation puts the density of states at the Fermi level at 14.8 states/eV per cell.

***

# 3
This record from Alexandria via LeMat-Bulk describes Mn4FeAu after structural relaxation. The functional is PBE-GGA.

The structure belongs to space group F-43m (No. 216); the cell edges are 6.6593, 6.6593 and 6.6593 Å and the angles 90.00°, 90.00° and 90.00°. The inequivalent atoms are Mn at (0.1251, 0.1251, 0.1251), Fe at (0.0000, 0.0000, 0.5000) and Au at (0.2500, 0.2500, 0.7500).

As for the energy relative to the elements: 0.308 eV per atom. The calculation puts the density of states at the Fermi level at 45.0 states/eV per cell.

***

# 4
This record from Alexandria via LeMat-Bulk describes MnFeAu after structural relaxation. The functional is PBE-GGA.

The structure belongs to space group P3m1 (No. 156); the cell edges are 2.8108, 2.8108 and 6.5719 Å and the angles 90.00°, 90.00° and 120.00°. The inequivalent atoms are Mn at (0.0000, 0.0000, 0.0000), Fe at (0.6667, 0.3333, 0.3052) and Au at (0.3333, 0.6667, 0.6494).

As for the energy relative to the elements: 0.239 eV per atom. The calculation puts the density of states at the Fermi level at 1.7 states/eV per cell. The energy above the most stable polymorph in this dataset is 0.077 eV per atom.

***

# 5
This record from Alexandria via LeMat-Bulk describes Mn2Fe2Au after structural relaxation. The functional is PBE-GGA.

The structure belongs to space group P4/mbm (No. 127); the cell edges are 6.8971, 6.8971 and 2.5623 Å and the angles 90.00°, 90.00° and 90.00°. The inequivalent atoms are Mn at (0.1192, 0.3808, 0.0000), Fe at (0.1654, 0.6654, 0.5000) and Au at (0.0000, 0.0000, 0.0000).

As for the energy relative to the elements: 0.299 eV per atom. The calculation puts the density of states at the Fermi level at 11.7 states/eV per cell. The energy above the most stable polymorph in this dataset is 0.025 eV per atom.

***

# 6
This record from Alexandria via LeMat-Bulk describes MnFeMoAu2 after structural relaxation. The functional is PBE-GGA.

The structure belongs to space group P4/mmm (No. 123); the cell edges are 4.8151, 4.8151 and 4.0381 Å and the angles 90.00°, 90.00° and 90.00°. The inequivalent atoms are Mn at (0.0000, 0.0000, 0.0000), Fe at (0.0000, 0.0000, 0.5000), Mo at (0.5000, 0.5000, 0.5000) and Au at (0.0000, 0.5000, 0.0000).

As for the energy relative to the elements: 1.355 eV per atom. The calculation puts the density of states at the Fermi level at 6.0 states/eV per cell.

***

# 7
This record from Alexandria via LeMat-Bulk describes MnFe2AuN after structural relaxation. The functional is PBE-GGA.

The structure belongs to space group P4/mmm (No. 123); the cell edges are 3.8740, 3.8740 and 4.0318 Å and the angles 90.00°, 90.00° and 90.00°. The inequivalent atoms are Mn at (0.0000, 0.0000, 0.0000), Fe at (0.0000, 0.5000, 0.5000), Au at (0.5000, 0.5000, 0.0000) and N at (0.0000, 0.0000, 0.5000).

The calculation puts the density of states at the Fermi level at 3.8 states/eV per cell. As for the uncorrected formation energy: -124.0 meV per atom. The energy above the most stable polymorph in this dataset is 0.000 eV per atom.

***

# 8
This record from Alexandria via LeMat-Bulk describes MnFe2AuN after structural relaxation. The functional is PBE-GGA.

The structure belongs to space group P4/mmm (No. 123); the cell edges are 4.7286, 4.7286 and 4.8920 Å and the angles 90.00°, 90.00° and 90.00°. The inequivalent atoms are Mn at (0.0000, 0.0000, 0.0000), Fe at (0.0000, 0.5000, 0.5000), Au at (0.0000, 0.0000, 0.5000) and N at (0.5000, 0.5000, 0.0000).

The calculation puts the density of states at the Fermi level at 7.7 states/eV per cell. As for the uncorrected formation energy: 2188.4 meV per atom. The energy above the most stable polymorph in this dataset is 2.312 eV per atom.